Record 1
# Sm2Ho2Tm, optimized geometry, DFT GGA-PBE
# Distance to the lowest polymorph of the same formula ... 0.00 kcal/mol of atoms
# Formation enthalpy at 0 K ... 0.07 eV per formula unit
data_Sm2Ho2Tm
_chemical_formula_sum 'Sm8 Ho8 Tm4'
_space_group_name_H-M_alt 'C 1 2/c 1'
_space_group_IT_number 15
_cell_length_a 15.7196
_cell_length_b 6.2751
_cell_length_c 6.7339
_cell_angle_alpha 90.00
_cell_angle_beta 103.60
_cell_angle_gamma 90.00
loop_
_space_group_symop_operation_xyz
'x,y,z'
'-x,-y,-z'
'-x,y,-z+1/2'
'x,-y,z+1/2'
'x+1/2,y+1/2,z'
'-x+1/2,-y+1/2,-z'
'-x+1/2,y+1/2,-z+1/2'
'x+1/2,-y+1/2,z+1/2'
loop_
_atom_site_label
_atom_site_fract_x
_atom_site_fract_y
_atom_site_fract_z
Sm1 0.1007 0.0826 0.4468
Ho1 0.1993 0.4175 0.1517
Tm1 0.0000 0.4163 0.7500

***

Record 2
# Sm6Ho3Tm, optimized geometry, DFT GGA-PBE
# Distance to the lowest polymorph of the same formula ... 0.43 kcal/mol of atoms
# Formation enthalpy at 0 K ... 1.45 eV per formula unit
data_Sm6Ho3Tm
_chemical_formula_sum 'Sm24 Ho12 Tm4'
_space_group_name_H-M_alt 'C m c 21'
_space_group_IT_number 36
_cell_length_a 10.9992
_cell_length_b 19.1932
_cell_length_c 6.2557
_cell_angle_alpha 90.00
_cell_angle_beta 90.00
_cell_angle_gamma 90.00
loop_
_space_group_symop_operation_xyz
'x,y,z'
'-x,-y,z+1/2'
'-x,y,z'
'x,-y,z+1/2'
'x+1/2,y+1/2,z'
'-x+1/2,-y+1/2,z+1/2'
'-x+1/2,y+1/2,z'
'x+1/2,-y+1/2,z+1/2'
loop_
_atom_site_label
_atom_site_fract_x
_atom_site_fract_y
_atom_site_fract_z
Sm1 0.0000 0.0409 0.0000
Sm2 0.0000 0.2782 0.7371
Sm3 0.1675 0.4555 0.6329
Sm4 0.2344 0.2889 0.4448
Ho1 0.0000 0.3874 0.1636
Ho2 0.1667 0.1116 0.5562
Tm1 0.0000 0.1996 0.2113

***

Record 3
# Sm5Ho4Tm2, optimized geometry, DFT GGA-PBE
# Distance to the lowest polymorph of the same formula ... 0.00 kcal/mol of atoms
# Formation enthalpy at 0 K ... 1.96 eV per formula unit
data_Sm5Ho4Tm2
_chemical_formula_sum 'Sm10 Ho8 Tm4'
_space_group_name_H-M_alt 'C 1 2/m 1'
_space_group_IT_number 12
_cell_length_a 11.8644
_cell_length_b 6.9641
_cell_length_c 9.6451
_cell_angle_alpha 90.00
_cell_angle_beta 113.99
_cell_angle_gamma 90.00
loop_
_space_group_symop_operation_xyz
'x,y,z'
'-x,-y,-z'
'-x,y,-z'
'x,-y,z'
'x+1/2,y+1/2,z'
'-x+1/2,-y+1/2,-z'
'-x+1/2,y+1/2,-z'
'x+1/2,-y+1/2,z'
loop_
_atom_site_label
_atom_site_fract_x
_atom_site_fract_y
_atom_site_fract_z
Sm1 0.0000 0.0000 0.0000
Sm2 0.1063 0.2654 0.3216
Ho1 0.1432 0.5000 0.6519
Ho2 0.1507 0.5000 0.0011
Tm1 0.1294 0.0000 0.6511

***

Record 4
# Sm4Ho4Tm, optimized geometry, DFT GGA-PBE
# Distance to the lowest polymorph of the same formula ... 2.02 kcal/mol of atoms
# Formation enthalpy at 0 K ... 0.98 eV per formula unit
data_Sm4Ho4Tm
_chemical_formula_sum 'Sm8 Ho8 Tm2'
_space_group_name_H-M_alt 'C 1 2/m 1'
_space_group_IT_number 12
_cell_length_a 16.7417
_cell_length_b 5.5624
_cell_length_c 6.8021
_cell_angle_alpha 90.00
_cell_angle_beta 112.99
_cell_angle_gamma 90.00
loop_
_space_group_symop_operation_xyz
'x,y,z'
'-x,-y,-z'
'-x,y,-z'
'x,-y,z'
'x+1/2,y+1/2,z'
'-x+1/2,-y+1/2,-z'
'-x+1/2,y+1/2,-z'
'x+1/2,-y+1/2,z'
loop_
_atom_site_label
_atom_site_fract_x
_atom_site_fract_y
_atom_site_fract_z
Sm1 0.1328 0.0000 0.4608
Sm2 0.2190 0.5000 0.7870
Ho1 0.0726 0.0000 0.8768
Ho2 0.1264 0.5000 0.1810
Tm1 0.0000 0.5000 0.5000

***

Record 5
# SmHoTm4, optimized geometry, DFT GGA-PBE
# Distance to the lowest polymorph of the same formula ... 4.61 kcal/mol of atoms
# Formation enthalpy at 0 K ... 1.69 eV per formula unit
data_SmHoTm4
_chemical_formula_sum 'Sm4 Ho4 Tm16'
_space_group_name_H-M_alt 'F -4 3 m'
_space_group_IT_number 216
_space_group_name_Hall 'F -4 2 3'
_cell_length_a 9.2236
_cell_length_b 9.2236
_cell_length_c 9.2236
_cell_angle_alpha 90.00
_cell_angle_beta 90.00
_cell_angle_gamma 90.00
loop_
_atom_site_label
_atom_site_fract_x
_atom_site_fract_y
_atom_site_fract_z
Sm1 0.0000 0.0000 0.0000
Ho1 0.2500 0.2500 0.7500
Tm1 0.1246 0.1246 0.3754

***

Record 6
# Sm2HoTm9, optimized geometry, DFT GGA-PBE
# Distance to the lowest polymorph of the same formula ... 0.99 kcal/mol of atoms
# Formation enthalpy at 0 K ... 0.83 eV per formula unit
data_Sm2HoTm9
_chemical_formula_sum 'Sm2 Ho1 Tm9'
_space_group_name_H-M_alt 'P 6/m m m'
_space_group_IT_number 191
_space_group_name_Hall '-P 6 2'
_cell_length_a 11.1071
_cell_length_b 11.1071
_cell_length_c 3.4697
_cell_angle_alpha 90.00
_cell_angle_beta 90.00
_cell_angle_gamma 120.00
loop_
_atom_site_label
_atom_site_fract_x
_atom_site_fract_y
_atom_site_fract_z
Sm1 0.3333 0.6667 0.0000
Ho1 0.0000 0.0000 0.0000
Tm1 0.0000 0.5000 0.0000
Tm2 0.1750 0.3501 0.5000

***

Record 7
# Sm12Ho2Tm, optimized geometry, DFT GGA-PBE
# Formation enthalpy at 0 K ... 4.95 eV per formula unit
data_Sm12Ho2Tm
_chemical_formula_sum 'Sm24 Ho4 Tm2'
_space_group_name_H-M_alt 'P 4/n b m'
_space_group_IT_number 125
_cell_length_a 6.4837
_cell_length_b 6.4837
_cell_length_c 25.2573
_cell_angle_alpha 90.00
_cell_angle_beta 90.00
_cell_angle_gamma 90.00
loop_
_space_group_symop_operation_xyz
'x,y,z'
'-x,-y,-z'
'-y+1/2,x,z'
'y+1/2,-x,-z'
'-x+1/2,-y+1/2,z'
'x+1/2,y+1/2,-z'
'y,-x+1/2,z'
'-y,x+1/2,-z'
'x,-y+1/2,-z'
'-x,y+1/2,z'
'-y+1/2,-x+1/2,-z'
'y+1/2,x+1/2,z'
'-x+1/2,y,-z'
'x+1/2,-y,z'
'y,x,-z'
'-y,-x,z'
loop_
_atom_site_label
_atom_site_fract_x
_atom_site_fract_y
_atom_site_fract_z
Sm1 0.0666 0.5666 0.1140
Sm2 0.0822 0.5822 0.5622
Sm3 0.2500 0.2500 0.2148
Sm4 0.2500 0.2500 0.3372
Ho1 0.2500 0.7500 0.2718
Tm1 0.2500 0.7500 0.0000

***

Record 8
# Sm3Ho2Tm4, optimized geometry, DFT GGA-PBE
# Formation enthalpy at 0 K ... 0.95 eV per formula unit
data_Sm3Ho2Tm4
_chemical_formula_sum 'Sm12 Ho8 Tm16'
_space_group_name_H-M_alt 'C 1 2/c 1'
_space_group_IT_number 15
_cell_length_a 16.4221
_cell_length_b 11.5209
_cell_length_c 6.0234
_cell_angle_alpha 90.00
_cell_angle_beta 97.01
_cell_angle_gamma 90.00
loop_
_space_group_symop_operation_xyz
'x,y,z'
'-x,-y,-z'
'-x,y,-z+1/2'
'x,-y,z+1/2'
'x+1/2,y+1/2,z'
'-x+1/2,-y+1/2,-z'
'-x+1/2,y+1/2,-z+1/2'
'x+1/2,-y+1/2,z+1/2'
loop_
_atom_site_label
_atom_site_fract_x
_atom_site_fract_y
_atom_site_fract_z
Sm1 0.0000 0.1015 0.2500
Sm2 0.1661 0.3991 0.0861
Ho1 0.1199 0.1364 0.8163
Tm1 0.0477 0.3636 0.5175
Tm2 0.2156 0.1369 0.3496

***

Record 9
# Sm4Ho5Tm2, optimized geometry, DFT GGA-PBE
# Distance to the lowest polymorph of the same formula ... 3.01 kcal/mol of atoms
# Formation enthalpy at 0 K ... 2.51 eV per formula unit
data_Sm4Ho5Tm2
_chemical_formula_sum 'Sm8 Ho10 Tm4'
_space_group_name_H-M_alt 'C 1 2/m 1'
_space_group_IT_number 12
_cell_length_a 23.7218
_cell_length_b 3.4872
_cell_length_c 8.8709
_cell_angle_alpha 90.00
_cell_angle_beta 98.97
_cell_angle_gamma 90.00
loop_
_space_group_symop_operation_xyz
'x,y,z'
'-x,-y,-z'
'-x,y,-z'
'x,-y,z'
'x+1/2,y+1/2,z'
'-x+1/2,-y+1/2,-z'
'-x+1/2,y+1/2,-z'
'x+1/2,-y+1/2,z'
loop_
_atom_site_label
_atom_site_fract_x
_atom_site_fract_y
_atom_site_fract_z
Sm1 0.0260 0.0000 0.1893
Sm2 0.1291 0.5000 0.0327
Ho1 0.0000 0.5000 0.5000
Ho2 0.1773 0.0000 0.3982
Ho3 0.2320 0.0000 0.8264
Tm1 0.1018 0.0000 0.6951

***

Record 10
# Sm5Ho5Tm, optimized geometry, DFT GGA-PBE
# Formation enthalpy at 0 K ... 3.40 eV per formula unit
data_Sm5Ho5Tm
_chemical_formula_sum 'Sm5 Ho5 Tm1'
_space_group_name_H-M_alt 'P -6 m 2'
_space_group_IT_number 187
_space_group_name_Hall 'P -6 2'
_cell_length_a 6.0742
_cell_length_b 6.0742
_cell_length_c 11.6441
_cell_angle_alpha 90.00
_cell_angle_beta 90.00
_cell_angle_gamma 120.00
loop_
_atom_site_label
_atom_site_fract_x
_atom_site_fract_y
_atom_site_fract_z
Sm1 0.0000 0.0000 0.0000
Sm2 0.3333 0.6667 0.3150
Sm3 0.6667 0.3333 0.1537
Ho1 0.0000 0.0000 0.2653
Ho2 0.3344 0.1672 0.5000
Tm1 0.3333 0.6667 0.0000

***

Record 11
# Sm5HoTm, optimized geometry, DFT GGA-PBE
# Distance to the lowest polymorph of the same formula ... 16.95 kcal/mol of atoms
# Formation enthalpy at 0 K ... 6.52 eV per formula unit
data_Sm5HoTm
_chemical_formula_sum 'Sm10 Ho2 Tm2'
_space_group_name_H-M_alt 'I m m 2'
_space_group_IT_number 44
_cell_length_a 7.7690
_cell_length_b 11.7832
_cell_length_c 6.3060
_cell_angle_alpha 90.00
_cell_angle_beta 90.00
_cell_angle_gamma 90.00
loop_
_space_group_symop_operation_xyz
'x,y,z'
'-x,-y,z'
'-x,y,z'
'x,-y,z'
'x+1/2,y+1/2,z+1/2'
'-x+1/2,-y+1/2,z+1/2'
'-x+1/2,y+1/2,z+1/2'
'x+1/2,-y+1/2,z+1/2'
loop_
_atom_site_label
_atom_site_fract_x
_atom_site_fract_y
_atom_site_fract_z
Sm1 0.0000 0.0000 0.0000
Sm2 0.0000 0.2510 0.5434
Sm3 0.1848 0.5000 0.7727
Ho1 0.0000 0.5000 0.2597
Tm1 0.0000 0.0000 0.5377

***

Record 12
# Sm3Ho3Tm2, optimized geometry, DFT GGA-PBE
# Distance to the lowest polymorph of the same formula ... 0.00 kcal/mol of atoms
# Formation enthalpy at 0 K ... 0.18 eV per formula unit
data_Sm3Ho3Tm2
_chemical_formula_sum 'Sm6 Ho6 Tm4'
_space_group_name_H-M_alt 'I m m m'
_space_group_IT_number 71
_space_group_name_Hall '-I 2 2'
_cell_length_a 5.0243
_cell_length_b 5.0267
_cell_length_c 20.0976
_cell_angle_alpha 90.00
_cell_angle_beta 90.00
_cell_angle_gamma 90.00
loop_
_atom_site_label
_atom_site_fract_x
_atom_site_fract_y
_atom_site_fract_z
Sm1 0.0000 0.0000 0.0000
Sm2 0.0000 0.5000 0.1258
Ho1 0.0000 0.0000 0.5000
Ho2 0.0000 0.5000 0.3733
Tm1 0.0000 0.0000 0.2496

***

Record 13
# Sm5Ho2Tm3, optimized geometry, DFT GGA-PBE
# Distance to the lowest polymorph of the same formula ... 4.66 kcal/mol of atoms
# Formation enthalpy at 0 K ... 3.95 eV per formula unit
data_Sm5Ho2Tm3
_chemical_formula_sum 'Sm20 Ho8 Tm12'
_space_group_name_H-M_alt 'I b a m'
_space_group_IT_number 72
_space_group_name_Hall '-I 2 2c'
_cell_length_a 9.3478
_cell_length_b 13.5293
_cell_length_c 10.8768
_cell_angle_alpha 90.00
_cell_angle_beta 90.00
_cell_angle_gamma 90.00
loop_
_atom_site_label
_atom_site_fract_x
_atom_site_fract_y
_atom_site_fract_z
Sm1 0.0000 0.0000 0.2500
Sm2 0.0000 0.2525 0.2500
Sm3 0.1017 0.1272 0.0000
Ho1 0.0886 0.3797 0.5000
Tm1 0.0000 0.5000 0.2500
Tm2 0.2485 0.1242 0.5000

***

Record 14
# Sm9Ho2Tm, optimized geometry, DFT GGA-PBE
# Distance to the lowest polymorph of the same formula ... 0.65 kcal/mol of atoms
# Formation enthalpy at 0 K ... 0.56 eV per formula unit
data_Sm9Ho2Tm
_chemical_formula_sum 'Sm9 Ho2 Tm1'
_space_group_name_H-M_alt 'P 6/m m m'
_space_group_IT_number 191
_space_group_name_Hall '-P 6 2'
_cell_length_a 11.3608
_cell_length_b 11.3608
_cell_length_c 3.5264
_cell_angle_alpha 90.00
_cell_angle_beta 90.00
_cell_angle_gamma 120.00
loop_
_atom_site_label
_atom_site_fract_x
_atom_site_fract_y
_atom_site_fract_z
Sm1 0.0000 0.5000 0.0000
Sm2 0.1743 0.3486 0.5000
Ho1 0.3333 0.6667 0.0000
Tm1 0.0000 0.0000 0.0000

***

Record 15
# SmHo2Tm, optimized geometry, DFT GGA-PBE
# Distance to the lowest polymorph of the same formula ... 0.18 kcal/mol of atoms
# Formation enthalpy at 0 K ... 0.07 eV per formula unit
data_SmHo2Tm
_chemical_formula_sum 'Sm3 Ho6 Tm3'
_space_group_name_H-M_alt 'R 3 m'
_space_group_IT_number 160
_space_group_name_Hall 'R 3 -2"'
_cell_length_a 3.5648
_cell_length_b 3.5648
_cell_length_c 34.2971
_cell_angle_alpha 90.00
_cell_angle_beta 90.00
_cell_angle_gamma 120.00
loop_
_atom_site_label
_atom_site_fract_x
_atom_site_fract_y
_atom_site_fract_z
Sm1 0.0000 0.0000 0.0000
Ho1 0.0000 0.0000 0.5815
Ho2 0.0000 0.0000 0.7508
Tm1 0.0000 0.0000 0.1660

***

Record 16
# Sm2Ho3Tm3, optimized geometry, DFT GGA-PBE
# Distance to the lowest polymorph of the same formula ... 4.86 kcal/mol of atoms
# Formation enthalpy at 0 K ... 1.88 eV per formula unit
data_Sm2Ho3Tm3
_chemical_formula_sum 'Sm6 Ho9 Tm9'
_space_group_name_H-M_alt 'R 3 2'
_space_group_IT_number 155
_space_group_name_Hall 'R 3 2"'
_cell_length_a 8.6311
_cell_length_b 8.6311
_cell_length_c 11.9458
_cell_angle_alpha 90.00
_cell_angle_beta 90.00
_cell_angle_gamma 120.00
loop_
_atom_site_label
_atom_site_fract_x
_atom_site_fract_y
_atom_site_fract_z
Sm1 0.0000 0.0000 0.2389
Ho1 0.0000 0.7646 0.0000
Tm1 0.0000 0.2334 0.5000

***

Record 17
# Sm5Ho3Tm3, optimized geometry, DFT GGA-PBE
# Distance to the lowest polymorph of the same formula ... 0.57 kcal/mol of atoms
# Formation enthalpy at 0 K ... 3.92 eV per formula unit
data_Sm5Ho3Tm3
_chemical_formula_sum 'Sm5 Ho3 Tm3'
_space_group_name_H-M_alt 'P -6 2 m'
_space_group_IT_number 189
_space_group_name_Hall 'P -6 -2'
_cell_length_a 11.1121
_cell_length_b 11.1121
_cell_length_c 3.4496
_cell_angle_alpha 90.00
_cell_angle_beta 90.00
_cell_angle_gamma 120.00
loop_
_atom_site_label
_atom_site_fract_x
_atom_site_fract_y
_atom_site_fract_z
Sm1 0.0000 0.1616 0.0000
Sm2 0.3333 0.6667 0.0000
Ho1 0.0000 0.4066 0.5000
Tm1 0.0000 0.6579 0.0000

***

Record 18
# Sm4Ho3Tm2, optimized geometry, DFT GGA-PBE
# Distance to the lowest polymorph of the same formula ... 0.00 kcal/mol of atoms
# Formation enthalpy at 0 K ... 0.19 eV per formula unit
data_Sm4Ho3Tm2
_chemical_formula_sum 'Sm8 Ho6 Tm4'
_space_group_name_H-M_alt 'C 1 2/m 1'
_space_group_IT_number 12
_cell_length_a 15.1217
_cell_length_b 5.0290
_cell_length_c 7.9663
_cell_angle_alpha 90.00
_cell_angle_beta 108.40
_cell_angle_gamma 90.00
loop_
_space_group_symop_operation_xyz
'x,y,z'
'-x,-y,-z'
'-x,y,-z'
'x,-y,z'
'x+1/2,y+1/2,z'
'-x+1/2,-y+1/2,-z'
'-x+1/2,y+1/2,-z'
'x+1/2,-y+1/2,z'
loop_
_atom_site_label
_atom_site_fract_x
_atom_site_fract_y
_atom_site_fract_z
Sm1 0.0544 0.0000 0.3310
Sm2 0.2227 0.5000 0.3320
Ho1 0.0000 0.5000 0.0000
Ho2 0.1114 0.5000 0.6691
Tm1 0.1672 0.0000 0.9999

***

Record 19
# Sm6Ho3Tm, optimized geometry, DFT GGA-PBE
# Distance to the lowest polymorph of the same formula ... 0.00 kcal/mol of atoms
# Formation enthalpy at 0 K ... 1.27 eV per formula unit
data_Sm6Ho3Tm
_chemical_formula_sum 'Sm24 Ho12 Tm4'
_space_group_name_H-M_alt 'C m c 21'
_space_group_IT_number 36
_cell_length_a 9.7359
_cell_length_b 21.1796
_cell_length_c 6.3873
_cell_angle_alpha 90.00
_cell_angle_beta 90.00
_cell_angle_gamma 90.00
loop_
_space_group_symop_operation_xyz
'x,y,z'
'-x,-y,z+1/2'
'-x,y,z'
'x,-y,z+1/2'
'x+1/2,y+1/2,z'
'-x+1/2,-y+1/2,z+1/2'
'-x+1/2,y+1/2,z'
'x+1/2,-y+1/2,z+1/2'
loop_
_atom_site_label
_atom_site_fract_x
_atom_site_fract_y
_atom_site_fract_z
Sm1 0.0000 0.0160 0.0000
Sm2 0.0000 0.3003 0.9730
Sm3 0.1754 0.2807 0.5034
Sm4 0.1811 0.4396 0.7472
Ho1 0.0000 0.4199 0.2681
Ho2 0.1678 0.1257 0.6708
Tm1 0.0000 0.1588 0.1972

***

Record 20
# Sm4HoTm8, optimized geometry, DFT GGA-PBE
# Formation enthalpy at 0 K ... 6.76 eV per formula unit
data_Sm4HoTm8
_chemical_formula_sum 'Sm12 Ho3 Tm24'
_space_group_name_H-M_alt 'R -3 m'
_space_group_IT_number 166
_space_group_name_Hall '-R 3 2"'
_cell_length_a 10.9013
_cell_length_b 10.9013
_cell_length_c 13.3745
_cell_angle_alpha 90.00
_cell_angle_beta 90.00
_cell_angle_gamma 120.00
loop_
_atom_site_label
_atom_site_fract_x
_atom_site_fract_y
_atom_site_fract_z
Sm1 0.0000 0.0000 0.0000
Sm2 0.0000 0.5000 0.0000
Ho1 0.0000 0.0000 0.5000
Tm1 0.0000 0.0000 0.2406
Tm2 0.0126 0.5063 0.7472